1.
Compound: Cr2SiNi
Source: the Alexandria database
Functional: PBE
Structure: optimized geometry

The density of states at the Fermi level comes out at 1.053 states/eV per atom. The formation energy from raw total energies is 1.47 eV/f.u.

The space group is I-42d (No. 122) and the conventional cell measures 6.466, 6.466 and 4.772 Å, with angles of 90.00, 90.00 and 90.00 degrees. The inequivalent atoms are Cr at (0.248, 0.750, 0.125), Si at (0.000, 0.000, 0.500) and Ni at (0.000, 0.000, 0.000).

2.
Compound: CrSiNi
Source: the Alexandria database
Functional: PBE
Structure: optimized geometry

The density of states at the Fermi level comes out at 0.856 states/eV per atom. The formation energy from raw total energies is -0.79 eV/f.u.

The space group is C2/m (No. 12) and the conventional cell measures 8.962, 2.970 and 5.439 Å, with angles of 90.00, 110.00 and 90.00 degrees. The inequivalent atoms are Cr at (0.171, 0.000, 0.340), Si at (0.000, 0.500, 0.000), Si at (0.000, 0.500, 0.500) and Ni at (0.150, 0.000, 0.829).

3.
Compound: CrSiNi
Source: the Alexandria database
Functional: PBE
Structure: optimized geometry

The density of states at the Fermi level comes out at 0.578 states/eV per atom. The formation energy from raw total energies is -0.83 eV/f.u.

The space group is Cm (No. 8) and the conventional cell measures 7.428, 3.724 and 5.108 Å, with angles of 90.00, 100.61 and 90.00 degrees. The inequivalent atoms are Cr at (0.000, 0.000, 0.000), Cr at (0.173, 0.500, 0.862), Si at (0.162, 0.500, 0.332), Si at (0.344, 0.000, 0.725), Ni at (0.036, 0.000, 0.508) and Ni at (0.333, 0.000, 0.247).

4.
Compound: Cr2SiNi
Source: the Alexandria database
Functional: PBE
Structure: optimized geometry

The density of states at the Fermi level comes out at 0.853 states/eV per atom. The formation energy from raw total energies is -0.69 eV/f.u.

The space group is Pm (No. 6) and the conventional cell measures 2.545, 3.932 and 4.638 Å, with angles of 90.00, 96.85 and 90.00 degrees. The inequivalent atoms are Cr at (0.000, 0.000, 0.000), Cr at (0.195, 0.500, 0.745), Si at (0.599, 0.000, 0.500) and Ni at (0.586, 0.500, 0.250).

5.
Compound: CrSi2Ni2
Source: the Alexandria database
Functional: PBE
Structure: optimized geometry

The density of states at the Fermi level comes out at 0.218 states/eV per atom. The formation energy from raw total energies is -1.67 eV/f.u.

The space group is P4/mbm (No. 127) and the conventional cell measures 6.662, 6.662 and 2.584 Å, with angles of 90.00, 90.00 and 90.00 degrees. The inequivalent atoms are Cr at (0.000, 0.000, 0.000), Si at (0.155, 0.345, 0.000) and Ni at (0.142, 0.642, 0.500).

6.
Compound: Cr2SiNi
Source: the Alexandria database
Functional: PBE
Structure: optimized geometry

The density of states at the Fermi level comes out at 0.769 states/eV per atom. The formation energy from raw total energies is -0.68 eV/f.u.

The space group is P4mm (No. 99) and the conventional cell measures 2.939, 2.939 and 5.390 Å, with angles of 90.00, 90.00 and 90.00 degrees. The inequivalent atoms are Cr at (0.000, 0.000, 0.000), Cr at (0.500, 0.500, 0.217), Si at (0.500, 0.500, 0.728) and Ni at (0.000, 0.000, 0.509).

7.
Compound: CrSiNi
Source: the Alexandria database
Functional: PBE
Structure: optimized geometry

The density of states at the Fermi level comes out at 0.699 states/eV per atom. The formation energy from raw total energies is -0.69 eV/f.u.

The space group is Cm (No. 8) and the conventional cell measures 8.278, 3.748 and 4.986 Å, with angles of 90.00, 116.15 and 90.00 degrees. The inequivalent atoms are Cr at (0.000, 0.000, 0.000), Cr at (0.136, 0.500, 0.890), Si at (0.311, 0.000, 0.765), Si at (0.486, 0.500, 0.491), Ni at (0.187, 0.500, 0.432) and Ni at (0.342, 0.000, 0.259).

8.
Compound: Cr2SiNi
Source: the Alexandria database
Functional: PBE
Structure: optimized geometry

The density of states at the Fermi level comes out at 0.788 states/eV per atom. The formation energy from raw total energies is -0.20 eV/f.u.

The space group is Cmm2 (No. 35) and the conventional cell measures 3.075, 3.962 and 7.553 Å, with angles of 90.00, 90.00 and 90.00 degrees. The inequivalent atoms are Cr at (0.000, 0.000, 0.000), Cr at (0.000, 0.500, 0.259), Si at (0.000, 0.000, 0.508) and Ni at (0.000, 0.500, 0.739).

9.
Compound: Cr2SiNi
Source: the Alexandria database
Functional: PBE
Structure: optimized geometry

The density of states at the Fermi level comes out at 1.100 states/eV per atom. The formation energy from raw total energies is 0.25 eV/f.u.

The space group is R-3m (No. 166, hexagonal axes) and the conventional cell measures 2.5609, 2.5609 and 24.5419 Å, with angles of 90.00, 90.00 and 120.00 degrees. The inequivalent atoms are Cr at (0.0000, 0.0000, 0.2504), Si at (0.0000, 0.0000, 0.0000) and Ni at (0.0000, 0.0000, 0.5000).

10.
Compound: CrSiNi
Source: the Alexandria database
Functional: PBE
Structure: optimized geometry

The density of states at the Fermi level comes out at 0.671 states/eV per atom. The formation energy from raw total energies is -0.92 eV/f.u.

The space group is C2 (No. 5) and the conventional cell measures 7.486, 4.273 and 5.105 Å, with angles of 90.00, 123.06 and 90.00 degrees. The inequivalent atoms are Cr at (0.173, 0.000, 0.007), Si at (0.000, 0.498, 0.000), Si at (0.000, 0.681, 0.500) and Ni at (0.164, 0.171, 0.496).

11.
Compound: CrSiNi
Source: the Alexandria database
Functional: PBE
Structure: optimized geometry

The density of states at the Fermi level comes out at 0.562 states/eV per atom. The formation energy from raw total energies is -1.05 eV/f.u.

The space group is P2_1/m (No. 11) and the conventional cell measures 2.621, 4.008 and 6.570 Å, with angles of 90.00, 97.61 and 90.00 degrees. The inequivalent atoms are Cr at (0.128, 0.250, 0.082), Si at (0.375, 0.250, 0.744) and Ni at (0.265, 0.750, 0.570).

12.
Compound: Cr2SiNi
Source: the Alexandria database
Functional: PBE
Structure: optimized geometry

The density of states at the Fermi level comes out at 0.998 states/eV per atom. The formation energy from raw total energies is -0.10 eV/f.u.

The space group is P4/mmm (No. 123) and the conventional cell measures 2.513, 2.513 and 7.246 Å, with angles of 90.00, 90.00 and 90.00 degrees. The inequivalent atoms are Cr at (0.000, 0.000, 0.248), Si at (0.500, 0.500, 0.000) and Ni at (0.500, 0.500, 0.500).

What is the formation energy from raw total energies in the tenth record? -0.92 eV/f.u.

Which value of formation energy from raw total energies does entry 10 give? -0.92 eV/f.u.

Number 4 is which compound? Cr2SiNi

What is the formation energy from raw total energies in the ninth record? 0.25 eV/f.u.